## TbTm6In4 (PBE)

Data for crystalline TbTm6In4 at its relaxed geometry.

abc: 7.9185 7.9185 7.9185
angles: 86.14 122.25 122.25
Last column: nearest neighbours and their distance in Å.
Fractional coordinates of all 11 atoms:
Tb (0.0000, 0.0000, 0.0000)  4 In 3.64, 8 Tm 3.82-3.89
Tm (0.0000, 0.9000, 0.5258)  4 In 2.97-3.25
Tm (0.0000, 0.5258, 0.9000)  4 In 2.97-3.25
Tm (0.6258, 0.1000, 0.1000)  4 In 2.97-3.25
Tm (0.5000, 0.0000, 0.5000)  4 In 2.94
Tm (0.3742, 0.4742, 0.4742)  4 In 2.97-3.25
Tm (0.5000, 0.5000, 0.0000)  4 In 2.94
In (0.0000, 0.2613, 0.6038)  6 Tm 2.94-3.25, 2 In 3.05
In (0.6575, 0.3962, 0.3962)  6 Tm 2.94-3.25, 2 In 3.05
In (0.0000, 0.6038, 0.2613)  6 Tm 2.94-3.25, 2 In 3.05
In (0.3425, 0.7387, 0.7387)  6 Tm 2.94-3.25, 2 In 3.05

Output
V (Å³/f.u.): 338
VASP energy (eV for the cell shown): -43.2
Calculated formation energy (eV per formula unit): -0.760